[1]
Here is Zn3Cu2 at its PBEsol-relaxed geometry from the Alexandria database. Energies are from SCAN.

Cell lengths 4.7202, 4.9487, 6.5941 Å; angles 99.83, 110.97, 61.52 degrees
Fractional positions:
Cu 0.8965 0.5536 0.0978
Cu 0.3523 0.4464 0.9022
Cu 0.0487 0.0536 0.4022
Cu 0.7001 0.9464 0.5978
Zn 0.4669 0.0909 0.2025
Zn 0.3554 0.9091 0.7975
Zn 0.5144 0.5909 0.2975
Zn 0.8078 0.4091 0.7025
Zn 0.9290 0.0000 0.0000
Zn 0.1790 0.5000 0.5000

Results
Theoretical density = 8.5 g/cm3
Magnetization = 0.00 Bohr magnetons per cell
SG = Fdd2
Energy = -142.461 eV for the cell shown
Volume = 126 Å³ per cell

***

[2]
Here is ZnCu2 at its PBEsol-relaxed geometry from the Alexandria database. Energies are from SCAN.

Cell lengths 2.5741, 4.2135, 6.7427 Å; angles 90.00, 101.00, 90.00 degrees
Fractional positions:
Cu 0.8910 0.7500 0.7821
Cu 0.5535 0.7500 0.1071
Cu 0.4465 0.2500 0.8929
Cu 0.1090 0.2500 0.2179
Zn 0.2188 0.7500 0.4376
Zn 0.7812 0.2500 0.5624

Results
Theoretical density = 8.9 g/cm3
Magnetization = 0.00 Bohr magnetons per cell
SG = Cmcm
Energy = -88.051 eV for the cell shown
Volume = 72 Å³ per cell

***

[3]
Here is Zn6Cu7 at its PBEsol-relaxed geometry from the Alexandria database. Energies are from SCAN.

Cell lengths 4.8030, 4.8030, 8.7132 Å; angles 74.00, 74.00, 60.00 degrees
Fractional positions:
Cu 0.0845 0.5885 0.7385
Cu 0.5885 0.5885 0.7385
Cu 0.5885 0.0845 0.7385
Cu 0.9155 0.4115 0.2615
Cu 0.4115 0.9155 0.2615
Cu 0.4115 0.4115 0.2615
Cu 0.5000 0.5000 0.5000
Zn 0.0507 0.0507 0.8480
Zn 0.9493 0.9493 0.1520
Zn 0.1550 0.1550 0.5351
Zn 0.8450 0.8450 0.4649
Zn 0.3336 0.3336 0.9993
Zn 0.6664 0.6664 0.0007

Results
Theoretical density = 8.4 g/cm3
Magnetization = 0.00 Bohr magnetons per cell
SG = R-3m
Energy = -187.720 eV for the cell shown
Volume = 165 Å³ per cell

***

[4]
Here is Zn4Cu5 at its PBEsol-relaxed geometry from the Alexandria database. Energies are from SCAN.

Cell lengths 4.9909, 7.1614, 7.1614 Å; angles 120.00, 90.00, 90.00 degrees
Fractional positions:
Cu 0.7500 0.0000 0.6894
Cu 0.7500 0.6894 0.0000
Cu 0.7500 0.3106 0.3106
Cu 0.2500 0.0000 0.3106
Cu 0.2500 0.3106 0.0000
Cu 0.2500 0.6894 0.6894
Cu 0.0000 0.3333 0.6667
Cu 0.5000 0.6667 0.3333
Cu 0.0000 0.6667 0.3333
Cu 0.5000 0.3333 0.6667
Zn 0.0000 0.0000 0.0000
Zn 0.5000 0.0000 0.0000
Zn 0.7500 0.0000 0.3594
Zn 0.7500 0.3594 0.0000
Zn 0.7500 0.6406 0.6406
Zn 0.2500 0.0000 0.6406
Zn 0.2500 0.6406 0.0000
Zn 0.2500 0.3594 0.3594

Results
Theoretical density = 8.7 g/cm3
Magnetization = 0.00 Bohr magnetons per cell
SG = P6_3/mcm
Energy = -260.971 eV for the cell shown
Volume = 222 Å³ per cell

***

[5]
Here is Zn2Cu at its PBEsol-relaxed geometry from the Alexandria database. Energies are from SCAN.

Cell lengths 3.6069, 3.7562, 5.9421 Å; angles 71.57, 90.00, 90.00 degrees
Fractional positions:
Cu 0.0000 0.6659 0.6682
Cu 0.0000 0.3341 0.3318
Zn 0.0000 0.0000 0.0000
Zn 0.5000 0.5000 0.0000
Zn 0.5000 0.8298 0.3404
Zn 0.5000 0.1702 0.6596

Results
Theoretical density = 8.5 g/cm3
Magnetization = 0.00 Bohr magnetons per cell
SG = Cmmm
Energy = -84.865 eV for the cell shown
Volume = 76 Å³ per cell

***

[6]
Here is Zn2Cu at its PBEsol-relaxed geometry from the Alexandria database. Energies are from SCAN.

Cell lengths 3.7299, 3.7299, 11.2916 Å; angles 99.51, 99.51, 90.00 degrees
Fractional positions:
Cu 0.1668 0.6668 0.3336
Cu 0.3332 0.8332 0.6664
Cu 0.9168 0.9168 0.8336
Cu 0.0832 0.0832 0.1664
Zn 0.0003 0.5003 0.0007
Zn 0.4997 0.9997 0.9993
Zn 0.7503 0.7503 0.5007
Zn 0.2497 0.2497 0.4993
Zn 0.8349 0.3349 0.6698
Zn 0.6651 0.1651 0.3302
Zn 0.5849 0.5849 0.1698
Zn 0.4151 0.4151 0.8302

Results
Theoretical density = 8.5 g/cm3
Magnetization = 0.00 Bohr magnetons per cell
SG = I4_1/amd
Energy = -169.705 eV for the cell shown
Volume = 153 Å³ per cell

***

[7]
Here is Zn3Cu2 at its PBEsol-relaxed geometry from the Alexandria database. Energies are from SCAN.

Cell lengths 4.0522, 4.0522, 4.9119 Å; angles 90.00, 90.00, 120.00 degrees
Fractional positions:
Zn 0.0000 0.0000 0.0000
Zn 0.3333 0.6667 0.3652
Zn 0.6667 0.3333 0.6348
Cu 0.3333 0.6667 0.8636
Cu 0.6667 0.3333 0.1364

Results
Theoretical density = 7.7 g/cm3
Magnetization = 0.00 Bohr magnetons per cell
SG = P-3m1
Energy = -71.128 eV for the cell shown
Volume = 70 Å³ per cell

***

[8]
Here is ZnCu2 at its PBEsol-relaxed geometry from the Alexandria database. Energies are from SCAN.

Cell lengths 2.6078, 2.6078, 5.5855 Å; angles 103.50, 103.50, 90.00 degrees
Fractional positions:
Zn 0.0000 0.0000 0.0000
Cu 0.6687 0.6687 0.3375
Cu 0.3313 0.3313 0.6625

Results
Theoretical density = 8.9 g/cm3
Magnetization = 0.00 Bohr magnetons per cell
SG = I4/mmm
Energy = -44.095 eV for the cell shown
Volume = 36 Å³ per cell

***

[9]
Here is ZnCu5 at its PBEsol-relaxed geometry from the Alexandria database. Energies are from SCAN.

Cell lengths 3.5586, 3.6031, 5.7129 Å; angles 71.62, 90.00, 90.00 degrees
Fractional positions:
Cu 0.5000 0.1684 0.6632
Cu 0.0000 0.3323 0.3355
Cu 0.5000 0.5000 0.0000
Cu 0.0000 0.6677 0.6645
Cu 0.5000 0.8316 0.3368
Zn 0.0000 0.0000 0.0000

Results
Theoretical density = 9.2 g/cm3
Magnetization = 0.00 Bohr magnetons per cell
SG = Cmmm
Energy = -89.783 eV for the cell shown
Volume = 70 Å³ per cell

***

[10]
Here is Zn7Cu at its PBEsol-relaxed geometry from the Alexandria database. Energies are from SCAN.

Cell lengths 5.3528, 5.3528, 5.3528 Å; angles 60.00, 60.00, 60.00 degrees
Fractional positions:
Cu 0.0000 0.0000 0.0000
Zn 0.5000 0.5000 0.0000
Zn 0.0000 0.5000 0.0000
Zn 0.0000 0.5000 0.5000
Zn 0.0000 0.0000 0.5000
Zn 0.5000 0.0000 0.5000
Zn 0.5000 0.0000 0.0000
Zn 0.5000 0.5000 0.5000

Results
Theoretical density = 8.0 g/cm3
Magnetization = 0.00 Bohr magnetons per cell
SG = Fm-3m
Energy = -109.751 eV for the cell shown
Volume = 108 Å³ per cell

***

[11]
Here is Zn2Cu at its PBEsol-relaxed geometry from the Alexandria database. Energies are from SCAN.

Cell lengths 2.6522, 2.6522, 6.4949 Å; angles 78.22, 78.22, 60.00 degrees
Fractional positions:
Zn 0.2255 0.2255 0.3234
Zn 0.7745 0.7745 0.6766
Cu 0.0000 0.0000 0.0000

Results
Theoretical density = 8.4 g/cm3
Magnetization = 0.00 Bohr magnetons per cell
SG = R-3m
Energy = -42.413 eV for the cell shown
Volume = 38 Å³ per cell

***

[12]
Here is ZnCu2 at its PBEsol-relaxed geometry from the Alexandria database. Energies are from SCAN.

Cell lengths 2.5955, 4.8825, 6.0722 Å; angles 104.56, 90.00, 105.41 degrees
Fractional positions:
Cu 0.0019 0.0038 0.0029
Cu 0.6683 0.3365 0.3347
Cu 0.3325 0.6649 0.6675
Cu 0.3886 0.7773 0.2765
Zn 0.0506 0.1013 0.6028
Zn 0.7248 0.4495 0.9491

Results
Theoretical density = 8.9 g/cm3
Magnetization = 0.00 Bohr magnetons per cell
SG = Cm
Energy = -88.188 eV for the cell shown
Volume = 72 Å³ per cell

***

[13]
Here is ZnCu5 at its PBEsol-relaxed geometry from the Alexandria database. Energies are from SCAN.

Cell lengths 2.5738, 4.1269, 6.6672 Å; angles 90.00, 101.13, 90.00 degrees
Fractional positions:
Cu 0.0029 0.0000 0.0057
Cu 0.6681 0.0000 0.3362
Cu 0.3334 0.0000 0.6668
Cu 0.5555 0.5000 0.1111
Cu 0.2192 0.5000 0.4384
Zn 0.8876 0.5000 0.7752

Results
Theoretical density = 9.2 g/cm3
Magnetization = 0.00 Bohr magnetons per cell
SG = Amm2
Energy = -89.703 eV for the cell shown
Volume = 69 Å³ per cell

***

[14]
Here is Zn4Cu3 at its PBEsol-relaxed geometry from the Alexandria database. Energies are from SCAN.

Cell lengths 2.9498, 2.9498, 10.3389 Å; angles 98.20, 98.20, 90.00 degrees
Fractional positions:
Cu 0.0000 0.0000 0.0000
Cu 0.2834 0.2834 0.5669
Cu 0.7166 0.7166 0.4331
Zn 0.1487 0.1487 0.2974
Zn 0.8513 0.8513 0.7026
Zn 0.4301 0.4301 0.8602
Zn 0.5699 0.5699 0.1398

Results
Theoretical density = 8.5 g/cm3
Magnetization = 0.00 Bohr magnetons per cell
SG = I4/mmm
Energy = -100.064 eV for the cell shown
Volume = 88 Å³ per cell

***

[15]
Here is ZnCu3 at its PBEsol-relaxed geometry from the Alexandria database. Energies are from SCAN.

Cell lengths 2.5738, 2.5738, 8.2173 Å; angles 90.00, 90.00, 120.00 degrees
Fractional positions:
Zn 0.3333 0.6667 0.5000
Cu 0.0000 0.0000 0.2458
Cu 0.0000 0.0000 0.7542
Cu 0.3333 0.6667 0.0000

Results
Theoretical density = 9.0 g/cm3
Magnetization = 0.00 Bohr magnetons per cell
SG = P-6m2
Energy = -59.195 eV for the cell shown
Volume = 47 Å³ per cell

***

[16]
Here is ZnCu2 at its PBEsol-relaxed geometry from the Alexandria database. Energies are from SCAN.

Cell lengths 2.6030, 6.9209, 6.9209 Å; angles 120.00, 90.00, 90.00 degrees
Fractional positions:
Cu 0.0000 0.6954 0.6954
Cu 0.0000 0.0000 0.3046
Cu 0.0000 0.3046 0.0000
Cu 0.5000 0.3619 0.3619
Cu 0.5000 0.0000 0.6381
Cu 0.5000 0.6381 0.0000
Zn 0.0000 0.6667 0.3333
Zn 0.0000 0.3333 0.6667
Zn 0.5000 0.0000 0.0000

Results
Theoretical density = 8.9 g/cm3
Magnetization = 0.00 Bohr magnetons per cell
SG = P-62m
Energy = -132.219 eV for the cell shown
Volume = 108 Å³ per cell

***

[17]
Here is Zn3Cu4 at its PBEsol-relaxed geometry from the Alexandria database. Energies are from SCAN.

Cell lengths 2.9299, 2.9299, 10.1760 Å; angles 98.28, 98.28, 90.00 degrees
Fractional positions:
Cu 0.1393 0.1393 0.2786
Cu 0.8607 0.8607 0.7214
Cu 0.4292 0.4292 0.8585
Cu 0.5708 0.5708 0.1415
Zn 0.0000 0.0000 0.0000
Zn 0.2909 0.2909 0.5817
Zn 0.7091 0.7091 0.4183

Results
Theoretical density = 8.7 g/cm3
Magnetization = 0.00 Bohr magnetons per cell
SG = I4/mmm
Energy = -101.715 eV for the cell shown
Volume = 86 Å³ per cell

***

[18]
Here is Zn3Cu2 at its PBEsol-relaxed geometry from the Alexandria database. Energies are from SCAN.

Cell lengths 2.6322, 2.6322, 10.6706 Å; angles 82.92, 82.92, 60.00 degrees
Fractional positions:
Zn 0.0000 0.0000 0.0000
Zn 0.2028 0.2028 0.3916
Zn 0.7972 0.7972 0.6084
Cu 0.6015 0.6015 0.1954
Cu 0.3985 0.3985 0.8046

Results
Theoretical density = 8.5 g/cm3
Magnetization = 0.00 Bohr magnetons per cell
SG = R-3m
Energy = -71.155 eV for the cell shown
Volume = 63 Å³ per cell

***

[19]
Here is ZnCu3 at its PBEsol-relaxed geometry from the Alexandria database. Energies are from SCAN.

Cell lengths 2.8813, 2.8813, 5.6840 Å; angles 90.00, 90.00, 90.00 degrees
Fractional positions:
Zn 0.5000 0.5000 0.5000
Cu 0.0000 0.0000 0.7563
Cu 0.5000 0.5000 0.0000
Cu 0.0000 0.0000 0.2437

Results
Theoretical density = 9.0 g/cm3
Magnetization = 0.00 Bohr magnetons per cell
SG = P4/mmm
Energy = -59.243 eV for the cell shown
Volume = 47 Å³ per cell

***

[20]
Here is ZnCu3 at its PBEsol-relaxed geometry from the Alexandria database. Energies are from SCAN.

Cell lengths 2.5960, 4.4161, 4.3786 Å; angles 100.60, 90.00, 107.09 degrees
Fractional positions:
Zn 0.5000 0.0000 0.0000
Cu 0.7488 0.4977 0.7469
Cu 0.2512 0.5023 0.2531
Cu 0.0000 0.0000 0.5000

Results
Theoretical density = 9.0 g/cm3
Magnetization = 0.00 Bohr magnetons per cell
SG = C2/m
Energy = -59.327 eV for the cell shown
Volume = 47 Å³ per cell

***

[21]
Here is ZnCu3 at its PBEsol-relaxed geometry from the Alexandria database. Energies are from SCAN.

Cell lengths 2.5968, 2.5968, 6.9883 Å; angles 90.00, 90.00, 89.94 degrees
Fractional positions:
Zn 0.5000 0.5000 0.5000
Cu 0.0000 0.0000 0.2440
Cu 0.5000 0.5000 0.0000
Cu 0.0000 0.0000 0.7560

Results
Theoretical density = 9.0 g/cm3
Magnetization = 0.00 Bohr magnetons per cell
SG = P4/mmm
Energy = -59.278 eV for the cell shown
Volume = 47 Å³ per cell

***

[22]
Here is ZnCu3 at its PBEsol-relaxed geometry from the Alexandria database. Energies are from SCAN.

Cell lengths 2.6017, 3.5352, 5.1163 Å; angles 90.00, 90.00, 90.00 degrees
Fractional positions:
Zn 0.5000 0.5000 0.0000
Cu 0.0000 0.0000 0.7458
Cu 0.5000 0.5000 0.5000
Cu 0.0000 0.0000 0.2542

Results
Theoretical density = 9.0 g/cm3
Magnetization = 0.00 Bohr magnetons per cell
SG = Pmmm
Energy = -59.329 eV for the cell shown
Volume = 47 Å³ per cell

***

[23]
Here is Zn4Cu5 at its PBEsol-relaxed geometry from the Alexandria database. Energies are from SCAN.

Cell lengths 3.7468, 5.7357, 5.7357 Å; angles 83.88, 70.94, 70.94 degrees
Fractional positions:
Cu 0.0000 0.0000 0.0000
Cu 0.6656 0.0000 0.6688
Cu 0.3344 0.0000 0.3312
Cu 0.6656 0.6688 0.0000
Cu 0.3344 0.3312 0.0000
Zn 0.0000 0.6756 0.3244
Zn 0.0000 0.3244 0.6756
Zn 0.6756 0.3244 0.3244
Zn 0.3244 0.6756 0.6756

Results
Theoretical density = 8.7 g/cm3
Magnetization = 0.00 Bohr magnetons per cell
SG = I4/mmm
Energy = -130.708 eV for the cell shown
Volume = 110 Å³ per cell

***

[24]
Here is Zn4Cu3 at its PBEsol-relaxed geometry from the Alexandria database. Energies are from SCAN.

Cell lengths 4.6710, 4.7441, 4.7441 Å; angles 120.00, 90.00, 90.00 degrees
Fractional positions:
Cu 0.0000 0.0000 0.5000
Cu 0.0000 0.5000 0.0000
Cu 0.0000 0.5000 0.5000
Zn 0.7489 0.0000 0.0000
Zn 0.2511 0.0000 0.0000
Zn 0.5000 0.3333 0.6667
Zn 0.5000 0.6667 0.3333

Results
Theoretical density = 8.2 g/cm3
Magnetization = 0.00 Bohr magnetons per cell
SG = P6/mmm
Energy = -99.716 eV for the cell shown
Volume = 91 Å³ per cell

***

[25]
Here is Zn2Cu at its PBEsol-relaxed geometry from the Alexandria database. Energies are from SCAN.

Cell lengths 4.1945, 4.1945, 5.0689 Å; angles 90.00, 90.00, 120.00 degrees
Fractional positions:
Cu 0.6667 0.3333 0.7500
Cu 0.3333 0.6667 0.2500
Zn 0.0000 0.0000 0.0000
Zn 0.0000 0.0000 0.5000
Zn 0.6667 0.3333 0.2500
Zn 0.3333 0.6667 0.7500

Results
Theoretical density = 8.4 g/cm3
Magnetization = 0.00 Bohr magnetons per cell
SG = P6_3/mmc
Energy = -84.722 eV for the cell shown
Volume = 77 Å³ per cell

***

[26]
Here is ZnCu5 at its PBEsol-relaxed geometry from the Alexandria database. Energies are from SCAN.

Cell lengths 4.1530, 4.3948, 4.3948 Å; angles 120.00, 90.00, 90.00 degrees
Fractional positions:
Cu 0.0000 0.3368 0.3368
Cu 0.0000 0.6632 0.0000
Cu 0.0000 0.0000 0.6632
Cu 0.5000 0.3333 0.6667
Cu 0.5000 0.6667 0.3333
Zn 0.5000 0.0000 0.0000

Results
Theoretical density = 9.2 g/cm3
Magnetization = 0.00 Bohr magnetons per cell
SG = P-62m
Energy = -89.767 eV for the cell shown
Volume = 69 Å³ per cell

***

| no. | density of states at the Fermi level (states/eV per atom) |
| --- | --- |
| 1 | 0.189 |
| 2 | 0.223 |
| 3 | 0.412 |
| 4 | 0.226 |
| 5 | 0.204 |
| 6 | 0.216 |
| 7 | 0.333 |
| 8 | 0.239 |
| 9 | 0.238 |
| 10 | 0.262 |
| 11 | 0.222 |
| 12 | 0.264 |
| 13 | 0.311 |
| 14 | 0.248 |
| 15 | 0.280 |
| 16 | 0.293 |
| 17 | 0.277 |
| 18 | 0.308 |
| 19 | 0.266 |
| 20 | 0.269 |
| 21 | 0.338 |
| 22 | 0.256 |
| 23 | 0.269 |
| 24 | 0.430 |
| 25 | 0.167 |
| 26 | 0.299 |